[1]
The following is a PBE calculation of a geometry-optimized Er2ScO structure, from Alexandria.

extended XYZ file:
```
12
Lattice="3.4393 0.0000 0.0000 -1.7196 2.9785 0.0000 0.0000 0.0000 24.9396" Properties=species:S:1:pos:R:3 pbc="T T T"
Er 0.0000 0.0000 5.5318
Er 0.0000 0.0000 19.4078
Er 0.0000 1.9857 11.0946
Er 0.0000 1.9857 22.1582
Er 1.7197 0.9928 2.7814
Er 1.7197 0.9928 13.8450
Sc 0.0000 0.0000 0.0000
Sc 0.0000 1.9857 16.6264
Sc 1.7197 0.9928 8.3132
O 0.0000 0.0000 12.4698
O 0.0000 1.9857 4.1566
O 1.7197 0.9928 20.7830
```

Output
Symmetry ... No. 166
Energy above the lowest structure with this stoichiometry ... 0 meV per atom

[2]
The following is a PBE calculation of a geometry-optimized Er2Sc2O5 structure, from Alexandria.

extended XYZ file:
```
9
Lattice="4.0447 0.0000 0.0000 0.0000 4.0447 0.0000 0.0000 0.0000 7.3908" Properties=species:S:1:pos:R:3 pbc="T T T"
Er 0.0000 0.0000 0.0000
Er 0.0000 0.0000 3.6954
Sc 2.0223 2.0223 1.6874
Sc 2.0223 2.0223 5.7033
O 0.0000 2.0223 1.6482
O 0.0000 2.0223 5.7426
O 2.0223 0.0000 1.6482
O 2.0223 0.0000 5.7426
O 2.0223 2.0223 3.6954
```

Output
Symmetry ... No. 123
E_tot ... -8.020 eV/atom

[3]
The following is a PBE calculation of a geometry-optimized ErScO3 structure, from Alexandria.

extended XYZ file:
```
20
Lattice="5.7208 0.0000 0.0000 0.0000 7.9557 0.0000 0.0000 0.0000 5.4216" Properties=species:S:1:pos:R:3 pbc="T T T"
Er 0.3597 1.9889 0.1131
Er 2.5007 5.9668 2.8239
Er 3.2201 1.9889 2.5977
Er 5.3611 5.9668 5.3085
Sc 0.0000 0.0000 2.7108
Sc 0.0000 3.9779 2.7108
Sc 2.8604 0.0000 0.0000
Sc 2.8604 3.9779 0.0000
O 0.3510 5.9668 1.9765
O 1.1024 4.5412 4.3915
O 1.1024 7.3924 4.3915
O 1.7580 0.5633 1.6807
O 1.7580 3.4146 1.6807
O 2.5094 1.9889 4.6873
O 3.2114 5.9668 0.7343
O 3.9628 4.5412 3.7408
O 3.9628 7.3924 3.7408
O 4.6184 0.5633 1.0300
O 4.6184 3.4146 1.0300
O 5.3698 1.9889 3.4450
```

Output
Symmetry ... No. 62
E_tot ... -8.709 eV/atom

[4]
The following is a PBE calculation of a geometry-optimized ErSc2O4 structure, from Alexandria.

extended XYZ file:
```
14
Lattice="1.5629 -5.1913 0.0000 1.5629 5.1913 0.0000 0.0000 0.0000 10.3266" Properties=species:S:1:pos:R:3 pbc="T T T"
Er 1.5629 3.9267 7.7450
Er 1.5629 -3.9267 2.5817
Sc 1.5629 1.3286 5.8789
Sc 1.5629 1.3286 9.6111
Sc 1.5629 -1.3286 0.7156
Sc 1.5629 -1.3286 4.4477
O 0.0000 0.0000 0.0000
O 0.0000 0.0000 5.1633
O 1.5629 2.3363 1.2010
O 1.5629 2.3363 3.9623
O 1.5629 0.3605 7.7450
O 1.5629 -0.3605 2.5817
O 1.5629 -2.3363 6.3643
O 1.5629 -2.3363 9.1256
```

Output
Symmetry ... No. 63
Energy above the lowest structure with this stoichiometry ... 0 meV per atom

[5]
The following is a PBE calculation of a geometry-optimized ErSc2O4 structure, from Alexandria.

extended XYZ file:
```
14
Lattice="0.0000 4.5573 4.5639 4.5455 0.0000 4.5639 4.5455 4.5573 0.0000" Properties=species:S:1:pos:R:3 pbc="T T T"
Er 1.1364 1.1393 1.1410
Er 7.9546 7.9752 7.9868
Sc 4.5455 2.2786 2.2819
Sc 2.2727 4.5573 2.2819
Sc 2.2727 2.2786 4.5639
Sc 4.5455 4.5573 4.5639
O 4.4515 2.3770 4.4578
O 4.4515 4.4589 2.3880
O 2.3667 2.3770 2.3880
O 6.7242 4.6556 4.6699
O 2.3667 4.4589 4.4578
O 6.7242 6.7376 6.7398
O 4.6395 4.6556 6.7398
O 4.6395 6.7376 4.6699
```

Output
Symmetry ... No. 70
Energy above the lowest structure with this stoichiometry ... 73 meV per atom

[6]
The following is a PBE calculation of a geometry-optimized ErScO structure, from Alexandria.

extended XYZ file:
```
3
Lattice="3.3621 0.0000 0.0000 -1.6811 2.9117 0.0000 0.0000 0.0000 5.4552" Properties=species:S:1:pos:R:3 pbc="T T T"
Er 0.0000 0.0000 0.0000
Sc 1.6811 0.9706 2.5878
O 0.0000 1.9411 1.4098
```

Output
Symmetry ... No. 156
Energy above the lowest structure with this stoichiometry ... 44 meV per atom